(1)
Compound: RbPrTe3Pb
Source: OQMD via LeMat-Bulk
Functional: PBE-GGA
Structure: relaxed

Computed properties:
* total DFT energy (no corrections): -4.072 eV/atom
* total magnetic moment: 0.00 μB/f.u.

a = 8.568 Å, b = 8.568 Å, c = 12.642 Å
α = 90.00°, β = 90.00°, γ = 147.17°
Atoms (fractional coordinates):
Pb (0.959, 0.041, 0.250)
Pb (0.041, 0.959, 0.750)
Pr (0.500, 0.500, 0.000)
Pr (0.500, 0.500, 0.500)
Rb (0.249, 0.751, 0.250)
Rb (0.751, 0.249, 0.750)
Te (0.868, 0.132, 0.034)
Te (0.574, 0.426, 0.250)
Te (0.868, 0.132, 0.466)
Te (0.132, 0.868, 0.534)
Te (0.426, 0.574, 0.750)
Te (0.132, 0.868, 0.966)



(2)
Compound: Rb2Hg2Te3
Source: OQMD via LeMat-Bulk
Functional: PBE-GGA
Structure: relaxed

Computed properties:
* total DFT energy (no corrections): -2.089 eV/atom

a = 7.689 Å, b = 7.689 Å, c = 7.689 Å
α = 52.23°, β = 52.23°, γ = 52.23°
Atoms (fractional coordinates):
Hg (0.318, 0.318, 0.318)
Hg (0.682, 0.682, 0.682)
Rb (0.000, 0.000, 0.000)
Rb (0.500, 0.500, 0.500)
Te (0.500, 0.000, 0.000)
Te (0.000, 0.500, 0.000)
Te (0.000, 0.000, 0.500)



(3)
Compound: LaGdSn2Pt4
Source: OQMD via LeMat-Bulk
Functional: PBE-GGA
Structure: relaxed

Computed properties:
* total DFT energy (no corrections): -6.197 eV/atom
* total magnetic moment: 0.01 μB/f.u.

a = 4.614 Å, b = 4.614 Å, c = 9.323 Å
α = 90.00°, β = 90.00°, γ = 120.00°
Atoms (fractional coordinates):
Gd (0.000, 0.000, 0.000)
La (0.667, 0.333, 0.500)
Pt (0.667, 0.333, 0.157)
Pt (0.000, 0.000, 0.330)
Pt (0.000, 0.000, 0.670)
Pt (0.667, 0.333, 0.843)
Sn (0.333, 0.667, 0.244)
Sn (0.333, 0.667, 0.756)



(4)
Compound: Fe2SiAs
Source: OQMD via LeMat-Bulk
Functional: PBE-GGA
Structure: relaxed

Computed properties:
* total DFT energy (no corrections): -6.766 eV/atom
* total magnetic moment: 0.63 μB/f.u.

a = 5.690 Å, b = 5.690 Å, c = 5.690 Å
α = 90.00°, β = 90.00°, γ = 90.00°
Atoms (fractional coordinates):
As (0.500, 0.500, 0.000)
As (0.500, 0.000, 0.500)
As (0.000, 0.500, 0.500)
As (0.500, 0.500, 0.500)
Fe (0.244, 0.244, 0.244)
Fe (0.756, 0.244, 0.244)
Fe (0.244, 0.756, 0.244)
Fe (0.756, 0.756, 0.244)
Fe (0.244, 0.244, 0.756)
Fe (0.756, 0.244, 0.756)
Fe (0.244, 0.756, 0.756)
Fe (0.756, 0.756, 0.756)
Si (0.000, 0.000, 0.000)
Si (0.500, 0.000, 0.000)
Si (0.000, 0.500, 0.000)
Si (0.000, 0.000, 0.500)



(5)
Compound: LiYIr2
Source: OQMD via LeMat-Bulk
Functional: PBE-GGA
Structure: relaxed

Computed properties:
* total DFT energy (no corrections): -6.739 eV/atom
* total magnetic moment: 1.06 μB/f.u.

a = 4.577 Å, b = 4.577 Å, c = 4.577 Å
α = 60.00°, β = 60.00°, γ = 60.00°
Atoms (fractional coordinates):
Ir (0.000, 0.000, 0.000)
Ir (0.750, 0.750, 0.750)
Li (0.500, 0.500, 0.500)
Y (0.250, 0.250, 0.250)



(6)
Compound: TbSnTe3Au
Source: OQMD via LeMat-Bulk
Functional: PBE-GGA
Structure: relaxed

Computed properties:
* total DFT energy (no corrections): -4.201 eV/atom
* total magnetic moment: 0.00 μB/f.u.

a = 12.304 Å, b = 4.478 Å, c = 13.256 Å
α = 90.00°, β = 90.00°, γ = 90.00°
Atoms (fractional coordinates):
Au (0.731, 0.500, 0.194)
Au (0.231, 0.000, 0.306)
Au (0.769, 0.500, 0.694)
Au (0.269, 0.000, 0.806)
Sn (0.919, 0.000, 0.238)
Sn (0.419, 0.500, 0.262)
Sn (0.581, 0.000, 0.738)
Sn (0.081, 0.500, 0.762)
Tb (0.694, 0.000, 0.020)
Tb (0.194, 0.500, 0.480)
Tb (0.806, 0.000, 0.520)
Tb (0.306, 0.500, 0.980)
Te (0.867, 0.500, 0.034)
Te (0.449, 0.000, 0.098)
Te (0.178, 0.500, 0.196)
Te (0.678, 0.000, 0.304)
Te (0.949, 0.500, 0.402)
Te (0.367, 0.000, 0.466)
Te (0.633, 0.500, 0.534)
Te (0.051, 0.000, 0.598)
Te (0.322, 0.500, 0.696)
Te (0.822, 0.000, 0.804)
Te (0.551, 0.500, 0.902)
Te (0.133, 0.000, 0.966)



(7)
Compound: TbErZn2Pb2
Source: OQMD via LeMat-Bulk
Functional: PBE-GGA
Structure: relaxed

Computed properties:
* total DFT energy (no corrections): -3.583 eV/atom
* total magnetic moment: 0.01 μB/f.u.

a = 4.577 Å, b = 4.577 Å, c = 15.997 Å
α = 90.00°, β = 90.00°, γ = 120.00°
Atoms (fractional coordinates):
Er (0.000, 0.000, 0.250)
Er (0.000, 0.000, 0.750)
Pb (0.333, 0.667, 0.111)
Pb (0.333, 0.667, 0.389)
Pb (0.667, 0.333, 0.611)
Pb (0.667, 0.333, 0.889)
Tb (0.000, 0.000, 0.000)
Tb (0.000, 0.000, 0.500)
Zn (0.667, 0.333, 0.166)
Zn (0.667, 0.333, 0.334)
Zn (0.333, 0.667, 0.666)
Zn (0.333, 0.667, 0.834)



(8)
Compound: KReAgSe3
Source: OQMD via LeMat-Bulk
Functional: PBE-GGA
Structure: relaxed

Computed properties:
* total DFT energy (no corrections): -4.647 eV/atom
* total magnetic moment: 2.55 μB/f.u.

a = 10.174 Å, b = 7.783 Å, c = 7.783 Å
α = 151.37°, β = 90.00°, γ = 90.00°
Atoms (fractional coordinates):
Ag (0.750, 0.551, 0.449)
Ag (0.250, 0.449, 0.551)
K (0.250, 0.756, 0.244)
K (0.750, 0.244, 0.756)
Re (0.000, 0.000, 0.000)
Re (0.500, 0.000, 0.000)
Se (0.750, 0.932, 0.068)
Se (0.521, 0.617, 0.383)
Se (0.979, 0.617, 0.383)
Se (0.021, 0.383, 0.617)
Se (0.479, 0.383, 0.617)
Se (0.250, 0.068, 0.932)



(9)
Compound: Dy3Tm3Te2Os
Source: OQMD via LeMat-Bulk
Functional: PBE-GGA
Structure: relaxed

Computed properties:
* total DFT energy (no corrections): -5.711 eV/atom
* total magnetic moment: 0.00 μB/f.u.

a = 8.230 Å, b = 8.230 Å, c = 4.043 Å
α = 90.00°, β = 90.00°, γ = 120.00°
Atoms (fractional coordinates):
Dy (0.390, 0.000, 0.500)
Dy (0.000, 0.390, 0.500)
Dy (0.610, 0.610, 0.500)
Os (0.000, 0.000, 0.500)
Te (0.667, 0.333, 0.000)
Te (0.333, 0.667, 0.000)
Tm (0.763, 0.000, 0.000)
Tm (0.237, 0.237, 0.000)
Tm (0.000, 0.763, 0.000)



(10)
Compound: La2Ga5Au3
Source: OQMD via LeMat-Bulk
Functional: PBE-GGA
Structure: relaxed

Computed properties:
* total DFT energy (no corrections): -4.170 eV/atom
* total magnetic moment: 0.01 μB/f.u.

a = 8.806 Å, b = 8.806 Å, c = 8.806 Å
α = 104.84°, β = 89.86°, γ = 138.27°
Atoms (fractional coordinates):
Au (0.250, 0.250, 0.000)
Au (0.750, 0.750, 0.000)
Au (0.867, 0.379, 0.246)
Au (0.367, 0.121, 0.488)
Au (0.633, 0.879, 0.512)
Au (0.133, 0.621, 0.754)
Ga (0.883, 0.144, 0.026)
Ga (0.485, 0.250, 0.235)
Ga (0.985, 0.750, 0.235)
Ga (0.617, 0.644, 0.261)
Ga (0.750, 0.250, 0.500)
Ga (0.250, 0.750, 0.500)
Ga (0.383, 0.356, 0.739)
Ga (0.015, 0.250, 0.765)
Ga (0.515, 0.750, 0.765)
Ga (0.117, 0.856, 0.974)
La (0.373, 0.761, 0.134)
La (0.127, 0.261, 0.388)
La (0.873, 0.739, 0.612)
La (0.627, 0.239, 0.866)



(11)
Compound: LuZnPdAu
Source: OQMD via LeMat-Bulk
Functional: PBE-GGA
Structure: relaxed

Computed properties:
* total DFT energy (no corrections): -4.270 eV/atom
* total magnetic moment: 0.00 μB/f.u.

a = 4.691 Å, b = 4.691 Å, c = 4.691 Å
α = 60.00°, β = 60.00°, γ = 60.00°
Atoms (fractional coordinates):
Au (0.000, 0.000, 0.000)
Lu (0.750, 0.750, 0.750)
Pd (0.500, 0.500, 0.500)
Zn (0.250, 0.250, 0.250)



(12)
Compound: Pr2Ga12Ni
Source: OQMD via LeMat-Bulk
Functional: PBE-GGA
Structure: relaxed

Computed properties:
* total DFT energy (no corrections): -3.840 eV/atom
* total magnetic moment: 0.01 μB/f.u.

a = 6.054 Å, b = 6.054 Å, c = 15.521 Å
α = 90.00°, β = 90.00°, γ = 90.00°
Atoms (fractional coordinates):
Ga (0.000, 0.000, 0.083)
Ga (0.500, 0.500, 0.083)
Ga (0.000, 0.500, 0.083)
Ga (0.500, 0.000, 0.083)
Ga (0.250, 0.250, 0.181)
Ga (0.750, 0.750, 0.181)
Ga (0.250, 0.250, 0.340)
Ga (0.750, 0.750, 0.340)
Ga (0.573, 0.073, 0.428)
Ga (0.927, 0.427, 0.428)
Ga (0.427, 0.573, 0.428)
Ga (0.073, 0.927, 0.428)
Ga (0.927, 0.073, 0.572)
Ga (0.573, 0.427, 0.572)
Ga (0.073, 0.573, 0.572)
Ga (0.427, 0.927, 0.572)
Ga (0.250, 0.250, 0.660)
Ga (0.750, 0.750, 0.660)
Ga (0.250, 0.250, 0.819)
Ga (0.750, 0.750, 0.819)
Ga (0.500, 0.000, 0.917)
Ga (0.000, 0.500, 0.917)
Ga (0.500, 0.500, 0.917)
Ga (0.000, 0.000, 0.917)
Ni (0.750, 0.250, 0.000)
Ni (0.250, 0.750, 0.000)
Pr (0.750, 0.250, 0.245)
Pr (0.250, 0.750, 0.245)
Pr (0.750, 0.250, 0.755)
Pr (0.250, 0.750, 0.755)



Number 1: mass density 5.4 g cm⁻³. Number 2: mass density 6.0 g cm⁻³. Number 3: mass density 12.7 g cm⁻³. Number 4: mass density 7.7 g cm⁻³. Number 5: mass density 11.8 g cm⁻³. Number 6: mass density 7.8 g cm⁻³. Number 7: mass density 10.0 g cm⁻³. Number 8: mass density 6.4 g cm⁻³. Number 9: mass density 10.1 g cm⁻³. Number 10: mass density 9.6 g cm⁻³. Number 11: mass density 12.4 g cm⁻³. Number 12: mass density 6.9 g cm⁻³.